[1]
# K2U2TiTe6

A geometry-optimized K2U2TiTe6 structure (PBE, the Alexandria database).

Lattice parameters (Å, degrees): 7.3574 7.3574 8.9420 98.38 98.38 119.75
With the nearest neighbours (Å) after each atom.
Atoms (fractional coordinates):
K (0.1721, 0.8279, 0.0000)  6 Te 3.52-3.56
K (0.8279, 0.1721, 0.0000)  6 Te 3.52-3.56
U (0.3317, 0.6683, 0.5000)  6 Te 3.07-3.08
U (0.6683, 0.3317, 0.5000)  6 Te 3.07-3.08
Ti (0.0000, 0.0000, 0.5000)  6 Te 2.89-2.90
Te (0.0757, 0.3866, 0.7046)  1 Ti 2.89, 2 U 3.07-3.08
Te (0.2448, 0.2448, 0.2982)  1 Ti 2.90, 2 U 3.07
Te (0.3866, 0.0757, 0.7046)  1 Ti 2.89, 2 U 3.07-3.08
Te (0.6134, 0.9243, 0.2954)  1 Ti 2.89, 2 U 3.07-3.08
Te (0.7552, 0.7552, 0.7018)  1 Ti 2.90, 2 U 3.07
Te (0.9243, 0.6134, 0.2954)  1 Ti 2.89, 2 U 3.07-3.08

Calculated values
- Raw total energy: -5.491 eV per atom

=====

[2]
# K4U3TiTe8

A geometry-optimized K4U3TiTe8 structure (PBE, the Alexandria database).

Lattice parameters (Å, degrees): 9.7577 9.7577 9.7577 53.65 53.65 53.65
With the nearest neighbours (Å) after each atom.
Atoms (fractional coordinates):
K (0.0000, 0.0000, 0.0000)  6 Te 3.63
K (0.0000, 0.5000, 0.5000)  6 Te 3.47-3.49
K (0.5000, 0.0000, 0.5000)  6 Te 3.47-3.49
K (0.5000, 0.5000, 0.0000)  6 Te 3.47-3.49
U (0.0000, 0.0000, 0.5000)  6 Te 3.11
U (0.0000, 0.5000, 0.0000)  6 Te 3.11
U (0.5000, 0.0000, 0.0000)  6 Te 3.11
Ti (0.5000, 0.5000, 0.5000)  6 Te 2.96
Te (0.2386, 0.2386, 0.2386)  3 U 3.11, 3 K 3.47
Te (0.2510, 0.7269, 0.7269)  1 Ti 2.96, 2 U 3.11
Te (0.2731, 0.2731, 0.7490)  1 Ti 2.96, 2 U 3.11
Te (0.2731, 0.7490, 0.2731)  1 Ti 2.96, 2 U 3.11
Te (0.7269, 0.2510, 0.7269)  1 Ti 2.96, 2 U 3.11
Te (0.7269, 0.7269, 0.2510)  1 Ti 2.96, 2 U 3.11
Te (0.7490, 0.2731, 0.2731)  1 Ti 2.96, 2 U 3.11
Te (0.7614, 0.7614, 0.7614)  3 U 3.11, 3 K 3.47

Calculated values
- Raw total energy: -5.298 eV per atom

=====

[3]
# KTiVTe3

A geometry-optimized KTiVTe3 structure (PBE, the Alexandria database).

Lattice parameters (Å, degrees): 8.8964 4.2785 9.9348 90.00 111.78 90.00
With the nearest neighbours (Å) after each atom.
Atoms (fractional coordinates):
K (0.0038, 0.2500, 0.2607)  8 Te 3.55-3.93
K (0.9962, 0.7500, 0.7393)  8 Te 3.55-3.93
Ti (0.4936, 0.7500, 0.3717)  4 Te 2.66-2.77, 2 V 2.91
Ti (0.5064, 0.2500, 0.6283)  4 Te 2.66-2.77, 2 V 2.91
V (0.4643, 0.2500, 0.1642)  6 Te 2.81-2.93, 2 Ti 2.91
V (0.5357, 0.7500, 0.8358)  6 Te 2.81-2.93, 2 Ti 2.91
Te (0.2353, 0.7500, 0.1267)  1 Ti 2.66, 2 V 2.88
Te (0.3009, 0.7500, 0.5362)  3 Ti 2.74-2.77, 1 V 2.93
Te (0.3397, 0.2500, 0.8550)  3 V 2.81-2.85, 1 Ti 3.12
Te (0.6603, 0.7500, 0.1450)  3 V 2.81-2.85, 1 Ti 3.12
Te (0.6991, 0.2500, 0.4638)  3 Ti 2.74-2.77, 1 V 2.93
Te (0.7647, 0.2500, 0.8733)  1 Ti 2.66, 2 V 2.88

Calculated values
- Raw total energy: -5.208 eV per atom

=====

[4]
# K3Y3TiTe8

A geometry-optimized K3Y3TiTe8 structure (PBE, the Alexandria database).

Lattice parameters (Å, degrees): 9.8482 9.8482 9.8482 52.51 52.51 52.51
With the nearest neighbours (Å) after each atom.
Atoms (fractional coordinates):
K (0.0000, 0.5000, 0.5000)  6 Te 3.51-3.54
K (0.5000, 0.0000, 0.5000)  6 Te 3.51-3.54
K (0.5000, 0.5000, 0.0000)  6 Te 3.51-3.54
Y (0.0000, 0.0000, 0.5000)  6 Te 3.08-3.09
Y (0.0000, 0.5000, 0.0000)  6 Te 3.08-3.09
Y (0.5000, 0.0000, 0.0000)  6 Te 3.08-3.09
Ti (0.5000, 0.5000, 0.5000)  6 Te 2.87
Te (0.2368, 0.2368, 0.2368)  3 Y 3.08
Te (0.2554, 0.7203, 0.7203)  1 Ti 2.87, 2 Y 3.09
Te (0.2797, 0.2797, 0.7446)  1 Ti 2.87, 2 Y 3.09
Te (0.2797, 0.7446, 0.2797)  1 Ti 2.87, 2 Y 3.09
Te (0.7203, 0.2554, 0.7203)  1 Ti 2.87, 2 Y 3.09
Te (0.7203, 0.7203, 0.2554)  1 Ti 2.87, 2 Y 3.09
Te (0.7446, 0.2797, 0.2797)  1 Ti 2.87, 2 Y 3.09
Te (0.7632, 0.7632, 0.7632)  3 Y 3.08

Calculated values
- Raw total energy: -4.935 eV per atom

=====

> Look up the raw total energy of the third one.

-5.208 eV per atom